Record 1
DFT (PBE) results for a relaxed Sr2In4Pt3Rh crystal.

a = 4.579 Å, b = 4.579 Å, c = 11.220 Å
α = 90.00°, β = 90.00°, γ = 90.00°
Positions (direct):
Sr  0.000  0.500  0.739
Sr  0.500  0.000  0.261
In  0.000  0.500  0.375
In  0.000  0.000  0.000
In  0.500  0.500  0.000
In  0.500  0.000  0.625
Pt  0.500  0.000  0.864
Pt  0.000  0.000  0.500
Pt  0.000  0.500  0.136
Rh  0.500  0.500  0.500

Results
Space group: P-4m2, No. 115
DOS at the Fermi energy in states/eV per cell: 4.1
E_form in eV/atom: -0.64
Crystal system: tetragonal

Record 2
DFT (PBE) results for a relaxed SrInPt2Rh crystal.

a = 5.030 Å, b = 4.950 Å, c = 5.030 Å
α = 90.00°, β = 90.00°, γ = 90.00°
Positions (direct):
In  0.000  0.000  0.000
Sr  0.500  0.500  0.500
Pt  0.500  0.000  0.000
Pt  0.000  0.000  0.500
Rh  0.000  0.500  0.000

Results
Space group: P4/mmm, No. 123
DOS at the Fermi energy in states/eV per cell: 1.8
E_form in eV/atom: 0.19
Crystal system: tetragonal

Record 3
DFT (PBE) results for a relaxed TaInPtRh crystal.

a = 4.587 Å, b = 4.587 Å, c = 4.587 Å
α = 60.00°, β = 60.00°, γ = 60.00°
Positions (direct):
Rh  0.250  0.250  0.250
Ta  0.500  0.500  0.500
In  0.000  0.000  0.000
Pt  0.750  0.750  0.750

Results
Space group: F-43m, No. 216
DOS at the Fermi energy in states/eV per cell: 4.0
E_form in eV/atom: -0.37
Crystal system: cubic